A plane-wave DFT calculation with PBEsol was carried out for Ag2SbTe after structural relaxation.

Structure (extended XYZ):
```
4
Lattice="3.799 0.000 0.000 0.000 4.298 0.001 0.000 -1.304 5.586" Properties=species:S:1:pos:R:3 pbc="T T T"
Te 0.000 -0.652 2.793
Ag 0.000 0.000 0.000
Ag 1.900 1.497 2.794
Sb 1.900 2.149 0.001
```

Properties
The value obtained for the volume is 22.8 Å³ per atom. The raw total energy comes out at -0.2634 Ry per atom. Its crystal system is monoclinic.

A plane-wave DFT calculation with PBEsol was carried out for TiAgSb2Te after structural relaxation.

Structure (extended XYZ):
```
5
Lattice="-0.637 1.513 4.885 -3.259 -3.962 0.802 3.991 -2.990 1.446" Properties=species:S:1:pos:R:3 pbc="T T T"
Sb -1.629 -1.981 0.401
Sb 1.995 -1.495 0.723
Ti 0.000 0.000 0.000
Ag 0.048 -2.720 3.566
Te -0.318 0.756 2.442
```

Properties
The value obtained for the volume is 27.8 Å³ per atom. The raw total energy comes out at -0.3343 Ry per atom. Its crystal system is tetragonal.

A plane-wave DFT calculation with PBEsol was carried out for TiAgSb3 after structural relaxation.

Structure (extended XYZ):
```
5
Lattice="5.216 0.000 0.000 0.000 5.216 0.000 0.000 0.000 5.216" Properties=species:S:1:pos:R:3 pbc="T T T"
Sb 0.000 2.608 0.000
Sb 0.000 0.000 2.608
Sb 2.608 0.000 0.000
Ag 0.000 0.000 0.000
Ti 2.608 2.608 2.608
```

Properties
The value obtained for the volume is 28.4 Å³ per atom. The raw total energy comes out at -0.3073 Ry per atom. Its crystal system is cubic.